(w)
## MnReRu2 (meta-GGA SCAN)

Data for a crystal of MnReRu2 relaxed with PBEsol.

Lattice parameters (Å, degrees): 5.3046 7.4541 2.6688 90.00 90.00 90.00
Space group Cmmm (No. 65)
Symmetry-distinct sites (fractional):
Mn: 0.0000 0.0000 0.0000 [2 per cell]
Re: 0.0000 0.5000 0.0000 [2 per cell]
Ru: 0.2500 0.2500 0.5000 [4 per cell]

Properties
Density of states at the Fermi level   4.020 states/eV/f.u.

=====

(x)
## MnReRu2 (meta-GGA SCAN)

Data for a crystal of MnReRu2 relaxed with PBEsol.

Lattice parameters (Å, degrees): 2.6659 2.6659 7.3482 90.00 90.00 90.00
Space group P4/mmm (No. 123)
Symmetry-distinct sites (fractional):
Mn: 0.0000 0.0000 0.0000 [1 per cell]
Re: 0.0000 0.0000 0.5000 [1 per cell]
Ru: 0.5000 0.5000 0.2362 [2 per cell]

Properties
Density of states at the Fermi level   3.757 states/eV/f.u.

=====

Most stable structure, least stable structure: (w), (x).

=====

(w)
## MnReSi2 (meta-GGA SCAN)

Data for a crystal of MnReSi2 relaxed with PBEsol.

Lattice parameters (Å, degrees): 3.0285 3.0285 5.3307 90.00 90.00 90.00
Space group P4mm (No. 99)
Symmetry-distinct sites (fractional):
Mn: 0.0000 0.0000 0.0000 [1 per cell]
Re: 0.5000 0.5000 0.3226 [1 per cell]
Si: 0.0000 0.0000 0.5458 [1 per cell]
Si: 0.5000 0.5000 0.8091 [1 per cell]

Properties
Density of states at the Fermi level   2.544 states/eV/f.u.

=====

(x)
## MnReSi2 (meta-GGA SCAN)

Data for a crystal of MnReSi2 relaxed with PBEsol.

Lattice parameters (Å, degrees): 4.0664 4.0664 2.9104 90.00 90.00 90.00
Space group P4/mmm (No. 123)
Symmetry-distinct sites (fractional):
Mn: 0.0000 0.0000 0.0000 [1 per cell]
Re: 0.5000 0.5000 0.0000 [1 per cell]
Si: 0.0000 0.5000 0.5000 [2 per cell]

Properties
Density of states at the Fermi level   2.100 states/eV/f.u.

=====

Most stable structure, least stable structure: (w), (x).

=====

(w)
## MnRe2Tc (meta-GGA SCAN)

Data for a crystal of MnRe2Tc relaxed with PBEsol.

Lattice parameters (Å, degrees): 5.3663 7.5611 2.6859 90.00 90.00 90.00
Space group Cmmm (No. 65)
Symmetry-distinct sites (fractional):
Mn: 0.0000 0.0000 0.0000 [2 per cell]
Re: 0.2500 0.2500 0.5000 [4 per cell]
Tc: 0.0000 0.5000 0.0000 [2 per cell]

Properties
Density of states at the Fermi level   3.176 states/eV/f.u.

=====

(x)
## MnRe2Tc (meta-GGA SCAN)

Data for a crystal of MnRe2Tc relaxed with PBEsol.

Lattice parameters (Å, degrees): 2.6850 2.6850 7.4642 90.00 90.00 90.00
Space group P4/mmm (No. 123)
Symmetry-distinct sites (fractional):
Mn: 0.0000 0.0000 0.0000 [1 per cell]
Re: 0.5000 0.5000 0.2328 [2 per cell]
Tc: 0.0000 0.0000 0.5000 [1 per cell]

Properties
Density of states at the Fermi level   3.771 states/eV/f.u.

=====

Most stable structure, least stable structure: (w), (x).

=====

(w)
## Mn2TlRe (meta-GGA SCAN)

Data for a crystal of Mn2TlRe relaxed with PBEsol.

Lattice parameters (Å, degrees): 2.9057 2.9057 25.6665 90.00 90.00 120.00
Space group R-3m (No. 166, hexagonal axes)
Symmetry-distinct sites (fractional):
Mn: 0.0000 0.0000 0.2421 [6 per cell]
Tl: 0.0000 0.0000 0.0000 [3 per cell]
Re: 0.0000 0.0000 0.5000 [3 per cell]

Properties
Density of states at the Fermi level   2.242 states/eV/f.u.

=====

(x)
## Mn2TlRe (meta-GGA SCAN)

Data for a crystal of Mn2TlRe relaxed with PBEsol.

Lattice parameters (Å, degrees): 5.5540 7.3550 2.8434 90.00 90.00 90.00
Space group Cmmm (No. 65)
Symmetry-distinct sites (fractional):
Mn: 0.2500 0.2500 0.0000 [4 per cell]
Tl: 0.0000 0.0000 0.5000 [2 per cell]
Re: 0.0000 0.5000 0.5000 [2 per cell]

Properties
Density of states at the Fermi level   2.811 states/eV/f.u.

=====

(y)
## Mn2TlRe (meta-GGA SCAN)

Data for a crystal of Mn2TlRe relaxed with PBEsol.

Lattice parameters (Å, degrees): 6.1995 6.1995 6.1995 90.00 90.00 90.00
Space group F-43m (No. 216)
Symmetry-distinct sites (fractional):
Mn: 0.0000 0.0000 0.0000 [4 per cell]
Mn: 0.2500 0.2500 0.2500 [4 per cell]
Tl: 0.2500 0.2500 0.7500 [4 per cell]
Re: 0.0000 0.0000 0.5000 [4 per cell]

Properties
Density of states at the Fermi level   2.551 states/eV/f.u.

=====

Most stable structure, least stable structure: (w), (y).

=====

(w)
## MnTlRe (meta-GGA SCAN)

Data for a crystal of MnTlRe relaxed with PBEsol.

Lattice parameters (Å, degrees): 3.1096 4.7802 13.3917 90.00 90.00 90.00
Space group Fmm2 (No. 42)
Symmetry-distinct sites (fractional):
Mn: 0.0000 0.0000 0.0000 [4 per cell]
Tl: 0.0000 0.0000 0.3247 [4 per cell]
Re: 0.0000 0.0000 0.6365 [4 per cell]

Properties
Density of states at the Fermi level   1.300 states/eV/f.u.

=====

(x)
## MnTlRe (meta-GGA SCAN)

Data for a crystal of MnTlRe relaxed with PBEsol.

Lattice parameters (Å, degrees): 6.1259 6.1259 6.1259 90.00 90.00 90.00
Space group F-43m (No. 216)
Symmetry-distinct sites (fractional):
Mn: 0.0000 0.0000 0.0000 [4 per cell]
Tl: 0.0000 0.0000 0.5000 [4 per cell]
Re: 0.2500 0.2500 0.2500 [4 per cell]

Properties
Density of states at the Fermi level   1.727 states/eV/f.u.

=====

Most stable structure, least stable structure: (w), (x).

=====

(w)
## MnZnRe (meta-GGA SCAN)

Data for a crystal of MnZnRe relaxed with PBEsol.

Lattice parameters (Å, degrees): 4.1528 4.1528 2.5924 90.00 90.00 120.00
Space group P3m1 (No. 156)
Symmetry-distinct sites (fractional):
Mn: 0.0000 0.0000 0.0000 [1 per cell]
Zn: 0.6667 0.3333 0.7085 [1 per cell]
Re: 0.3333 0.6667 0.2695 [1 per cell]

Properties
Density of states at the Fermi level   1.528 states/eV/f.u.

=====

(x)
## MnZnRe (meta-GGA SCAN)

Data for a crystal of MnZnRe relaxed with PBEsol.

Lattice parameters (Å, degrees): 5.6121 5.6121 5.6121 90.00 90.00 90.00
Space group F-43m (No. 216)
Symmetry-distinct sites (fractional):
Mn: 0.0000 0.0000 0.0000 [4 per cell]
Zn: 0.2500 0.2500 0.2500 [4 per cell]
Re: 0.2500 0.2500 0.7500 [4 per cell]

Properties
Density of states at the Fermi level   0.727 states/eV/f.u.

=====

Most stable structure, least stable structure: (w), (x).

=====

(w)
## MnRh2 (meta-GGA SCAN)

Data for a crystal of MnRh2 relaxed with PBEsol.

Lattice parameters (Å, degrees): 3.6669 11.2907 3.7510 90.00 90.00 90.00
Space group Cmcm (No. 63)
Symmetry-distinct sites (fractional):
Mn: 0.0000 0.0875 0.2500 [4 per cell]
Rh: 0.0000 0.2503 0.7500 [4 per cell]
Rh: 0.0000 0.4180 0.2500 [4 per cell]

Properties
Density of states at the Fermi level   2.656 states/eV/f.u.

=====

(x)
## MnRh2 (meta-GGA SCAN)

Data for a crystal of MnRh2 relaxed with PBEsol.

Lattice parameters (Å, degrees): 9.5293 2.6310 6.1245 90.00 103.88 90.00
Space group C2/m (No. 12)
Symmetry-distinct sites (fractional):
Mn: 0.0283 0.0000 0.3117 [4 per cell]
Rh: 0.1350 0.5000 0.0310 [4 per cell]
Rh: 0.1836 0.5000 0.6311 [4 per cell]

Properties
Density of states at the Fermi level   3.246 states/eV/f.u.

=====

(y)
## MnRh2 (meta-GGA SCAN)

Data for a crystal of MnRh2 relaxed with PBEsol.

Lattice parameters (Å, degrees): 4.2566 4.2566 2.6653 90.00 90.00 120.00
Space group P6/mmm (No. 191)
Symmetry-distinct sites (fractional):
Mn: 0.0000 0.0000 0.0000 [1 per cell]
Rh: 0.3333 0.6667 0.5000 [2 per cell]

Properties
Density of states at the Fermi level   2.874 states/eV/f.u.

=====

(z)
## MnRh2 (meta-GGA SCAN)

Data for a crystal of MnRh2 relaxed with PBEsol.

Lattice parameters (Å, degrees): 5.2522 3.7631 7.8812 90.00 90.00 90.00
Space group Pnma (No. 62)
Symmetry-distinct sites (fractional):
Mn: 0.1420 0.2500 0.0929 [4 per cell]
Rh: 0.1039 0.2500 0.7587 [4 per cell]
Rh: 0.1401 0.2500 0.4225 [4 per cell]

Properties
Density of states at the Fermi level   3.141 states/eV/f.u.

=====

Most stable structure, least stable structure: (z), (x).

=====

(w)
## MnRh2 (meta-GGA SCAN)

Data for a crystal of MnRh2 relaxed with PBEsol.

Lattice parameters (Å, degrees): 3.7047 3.7047 22.7080 90.00 90.00 90.00
Space group I4_1/amd (No. 141, origin choice 2)
Symmetry-distinct sites (fractional):
Mn: 0.0000 0.2500 0.2944 [8 per cell]
Rh: 0.0000 0.2500 0.1250 [8 per cell]
Rh: 0.0000 0.2500 0.7911 [8 per cell]

Properties
Density of states at the Fermi level   3.659 states/eV/f.u.

=====

(x)
## MnRh2 (meta-GGA SCAN)

Data for a crystal of MnRh2 relaxed with PBEsol.

Lattice parameters (Å, degrees): 2.6235 2.6235 10.8874 90.00 90.00 90.00
Space group I4/mmm (No. 139)
Symmetry-distinct sites (fractional):
Mn: 0.0000 0.0000 0.0000 [2 per cell]
Rh: 0.0000 0.0000 0.3422 [4 per cell]

Properties
Density of states at the Fermi level   2.553 states/eV/f.u.

=====

Most stable structure, least stable structure: (w), (x).

=====

(w)
## SrMnRh (meta-GGA SCAN)

Data for a crystal of SrMnRh relaxed with PBEsol.

Lattice parameters (Å, degrees): 6.5087 6.5087 6.5087 90.00 90.00 90.00
Space group F-43m (No. 216)
Symmetry-distinct sites (fractional):
Sr: 0.0000 0.0000 0.0000 [4 per cell]
Mn: 0.0000 0.0000 0.5000 [4 per cell]
Rh: 0.2500 0.2500 0.7500 [4 per cell]

Properties
Density of states at the Fermi level   2.544 states/eV/f.u.

=====

(x)
## SrMnRh (meta-GGA SCAN)

Data for a crystal of SrMnRh relaxed with PBEsol.

Lattice parameters (Å, degrees): 3.2490 3.5102 10.8831 90.00 90.00 90.00
Space group Imm2 (No. 44)
Symmetry-distinct sites (fractional):
Sr: 0.0000 0.0000 0.0000 [2 per cell]
Mn: 0.0000 0.0000 0.7197 [2 per cell]
Rh: 0.0000 0.0000 0.2931 [2 per cell]

Properties
Density of states at the Fermi level   1.934 states/eV/f.u.

=====

Most stable structure, least stable structure: (x), (w).

=====

(w)
## Sr2MnRh (meta-GGA SCAN)

Data for a crystal of Sr2MnRh relaxed with PBEsol.

Lattice parameters (Å, degrees): 4.1146 4.6077 11.5723 90.00 90.00 90.00
Space group Amm2 (No. 38)
Symmetry-distinct sites (fractional):
Sr: 0.0000 0.0000 0.0000 [2 per cell]
Sr: 0.5000 0.0000 0.2806 [2 per cell]
Mn: 0.0000 0.0000 0.6925 [2 per cell]
Rh: 0.5000 0.0000 0.5814 [2 per cell]

Properties
Density of states at the Fermi level   2.212 states/eV/f.u.

=====

(x)
## Sr2MnRh (meta-GGA SCAN)

Data for a crystal of Sr2MnRh relaxed with PBEsol.

Lattice parameters (Å, degrees): 3.7330 5.0544 10.9634 90.00 90.00 90.00
Space group Imm2 (No. 44)
Symmetry-distinct sites (fractional):
Sr: 0.0000 0.0000 0.0000 [2 per cell]
Sr: 0.0000 0.5000 0.2108 [2 per cell]
Mn: 0.0000 0.5000 0.8053 [2 per cell]
Rh: 0.0000 0.0000 0.4458 [2 per cell]

Properties
Density of states at the Fermi level   2.523 states/eV/f.u.

=====

Most stable structure, least stable structure: (w), (x).

=====

(w)
## Sr2MnRh (meta-GGA SCAN)

Data for a crystal of Sr2MnRh relaxed with PBEsol.

Lattice parameters (Å, degrees): 7.3366 7.3366 7.3366 90.00 90.00 90.00
Space group Fm-3m (No. 225)
Symmetry-distinct sites (fractional):
Sr: 0.2500 0.2500 0.2500 [8 per cell]
Mn: 0.0000 0.0000 0.0000 [4 per cell]
Rh: 0.0000 0.0000 0.5000 [4 per cell]

Properties
Density of states at the Fermi level   3.835 states/eV/f.u.

=====

(x)
## Sr2MnRh (meta-GGA SCAN)

Data for a crystal of Sr2MnRh relaxed with PBEsol.

Lattice parameters (Å, degrees): 4.9250 4.9250 4.0228 90.00 90.00 90.00
Space group P4/mmm (No. 123)
Symmetry-distinct sites (fractional):
Sr: 0.0000 0.5000 0.0000 [2 per cell]
Mn: 0.0000 0.0000 0.5000 [1 per cell]
Rh: 0.5000 0.5000 0.5000 [1 per cell]

Properties
Density of states at the Fermi level   2.261 states/eV/f.u.

=====

Most stable structure, least stable structure: (w), (x).

=====

(w)
## MnTcRh (meta-GGA SCAN)

Data for a crystal of MnTcRh relaxed with PBEsol.

Lattice parameters (Å, degrees): 4.1042 4.1042 2.6267 90.00 90.00 120.00
Space group P-6m2 (No. 187)
Symmetry-distinct sites (fractional):
Mn: 0.0000 0.0000 0.0000 [1 per cell]
Tc: 0.3333 0.6667 0.0000 [1 per cell]
Rh: 0.6667 0.3333 0.5000 [1 per cell]

Properties
Density of states at the Fermi level   2.410 states/eV/f.u.

=====

(x)
## MnTcRh (meta-GGA SCAN)

Data for a crystal of MnTcRh relaxed with PBEsol.

Lattice parameters (Å, degrees): 2.6177 3.7059 7.9471 90.00 90.00 90.00
Space group Imm2 (No. 44)
Symmetry-distinct sites (fractional):
Mn: 0.0000 0.0000 0.0000 [2 per cell]
Tc: 0.0000 0.0000 0.3396 [2 per cell]
Rh: 0.0000 0.0000 0.6660 [2 per cell]

Properties
Density of states at the Fermi level   2.882 states/eV/f.u.

=====

Most stable structure, least stable structure: (x), (w).